No. 1
RbBaPO2 | Alexandria via LeMat-Bulk | GGA-PBE | relaxed; SG = P4/mmm, No. 123; raw formation energy = -0.33 eV/atom; energy = -3.969 eV per atom; energy above the lowest structure with this stoichiometry = 0.0 meV/atom; total magnetic moment = 4.00 Bohr magnetons per cell
1.0
5.0159 0.0000 0.0000
0.0000 5.0159 0.0000
0.0000 0.0000 6.3387
Rb Ba P O
1 1 1 2
direct
0.0000 0.0000 0.0000 Rb
0.5000 0.5000 0.5000 Ba
0.5000 0.5000 0.0000 P
0.0000 0.5000 0.5000 O
0.5000 0.0000 0.5000 O


No. 2
CrCd2TcBi | Alexandria via LeMat-Bulk | GGA-PBE | relaxed; SG = P4/mmm, No. 123; ΔE_f = 1.241 eV per atom; energy = -3.899 eV per atom; total magnetic moment = 6.84 Bohr magnetons per cell
1.0
5.1435 0.0000 0.0000
0.0000 5.1435 0.0000
0.0000 0.0000 5.0548
Cr Cd Tc Bi
1 2 1 1
direct
0.0000 0.0000 0.0000 Cr
0.0000 0.5000 0.0000 Cd
0.5000 0.0000 0.0000 Cd
0.5000 0.5000 0.5000 Tc
0.0000 0.0000 0.5000 Bi


No. 3
CsKCd2Bi | Alexandria via LeMat-Bulk | GGA-PBE | relaxed; SG = Imm2, No. 44; ΔE_f = -0.164 eV per atom; energy = -1.697 eV per atom; energy above the lowest structure with this stoichiometry = 0.0 meV/atom; total magnetic moment = 0.00 Bohr magnetons per cell
1.0
-2.6170 2.9014 6.8984
2.6170 -2.9014 6.8984
2.6170 2.9014 -6.8984
Cs K Cd Bi
1 1 2 1
direct
0.0000 0.0000 0.0000 Cs
0.2464 0.7464 0.5000 K
0.4012 0.4012 0.0000 Cd
0.7454 0.2454 0.5000 Cd
0.6169 0.6169 0.0000 Bi


No. 4
SiOs2Cl | Alexandria via LeMat-Bulk | GGA-PBE | relaxed; SG = Imm2, No. 44; raw formation energy = 0.70 eV/atom; energy = -6.730 eV per atom; energy above the lowest structure with this stoichiometry = 376.9 meV/atom; total magnetic moment = 0.00 Bohr magnetons per cell
1.0
-1.3983 2.0253 5.3622
1.3983 -2.0253 5.3622
1.3983 2.0253 -5.3622
Si Os Cl
1 2 1
direct
0.0000 0.0000 0.0000 Si
0.5753 0.5753 0.0000 Os
0.7970 0.2970 0.5000 Os
0.2716 0.7716 0.5000 Cl